[1]
Density functional theory data (GGA-PBE) for a relaxed Al4InBi crystal. Values from VASP.

```
&SYSTEM
  ibrav = 0, nat = 6, ntyp = 3
/
ATOMIC_SPECIES
Al 26.98 Al.upf
In 114.82 In.upf
Bi 208.98 Bi.upf
CELL_PARAMETERS angstrom
0.000 4.004 4.004
4.004 0.000 4.004
4.004 4.004 0.000
ATOMIC_POSITIONS crystal
Al 0.376 0.376 0.376
Al 0.376 0.376 0.872
Al 0.376 0.872 0.376
Al 0.872 0.376 0.376
In 0.750 0.750 0.750
Bi 0.000 0.000 0.000
```

## Properties
energy of formation from the pure elements = 0.173 eV per atom

---

[2]
Density functional theory data (GGA-PBE) for a relaxed AlIn2Bi crystal. Values from VASP.

```
&SYSTEM
  ibrav = 0, nat = 8, ntyp = 3
/
ATOMIC_SPECIES
Al 26.98 Al.upf
In 114.82 In.upf
Bi 208.98 Bi.upf
CELL_PARAMETERS angstrom
8.024 0.000 0.000
0.000 4.643 0.000
-2.686 0.000 6.090
ATOMIC_POSITIONS crystal
Al 0.000 0.000 0.000
Al 0.500 0.500 0.000
In 0.104 0.500 0.808
In 0.403 0.000 0.208
In 0.604 0.000 0.808
In 0.903 0.500 0.208
Bi 0.169 0.000 0.504
Bi 0.669 0.500 0.504
```

## Properties
E above lowest polymorph = 6 meV per atom
energy of formation from the pure elements = 0.142 eV per atom

---

[3]
Density functional theory data (GGA-PBE) for a relaxed AlIn2Bi crystal. Values from VASP.

```
&SYSTEM
  ibrav = 0, nat = 4, ntyp = 3
/
ATOMIC_SPECIES
Al 26.98 Al.upf
In 114.82 In.upf
Bi 208.98 Bi.upf
CELL_PARAMETERS angstrom
4.661 0.000 0.000
0.000 4.661 0.000
0.000 0.000 4.950
ATOMIC_POSITIONS crystal
Al 0.000 0.000 0.000
In 0.000 0.500 0.500
In 0.500 0.000 0.500
Bi 0.500 0.500 0.000
```

## Properties
E above lowest polymorph = 20 meV per atom
energy of formation from the pure elements = 0.155 eV per atom

---

Electronic total energy, respectively: -0.2517; -0.2303; -0.2293 Ry/atom.